No. 1
Computed, not measured: a relaxed CdGa2Ni2 crystal at the PBE level of DFT.

abc: 7.1514 7.1514 2.8064
angles: 90.00 90.00 90.00
Closest atoms and distances in Å follow each position.
Positions (direct):
Ni 0.6616 0.8384 0.5000  6 Ga 2.50-2.54
Ni 0.8384 0.3384 0.5000  6 Ga 2.50-2.54
Ni 0.1616 0.6616 0.5000  6 Ga 2.50-2.54
Ni 0.3384 0.1616 0.5000  6 Ga 2.50-2.54
Ga 0.6337 0.1337 0.0000  6 Ni 2.50-2.54, 1 Ga 2.70, 2 Cd 2.79
Ga 0.1337 0.3663 0.0000  6 Ni 2.50-2.54, 1 Ga 2.70, 2 Cd 2.79
Ga 0.3663 0.8663 0.0000  6 Ni 2.50-2.54, 1 Ga 2.70, 2 Cd 2.79
Ga 0.8663 0.6337 0.0000  6 Ni 2.50-2.54, 1 Ga 2.70, 2 Cd 2.79
Cd 0.0000 0.0000 0.0000  4 Ga 2.79, 2 Cd 2.81, 8 Ni 3.03
Cd 0.5000 0.5000 0.0000  4 Ga 2.79, 2 Cd 2.81, 8 Ni 3.03

Calculated values
As for the symmetry: P4/mbm (127). The value obtained for the density of states at the Fermi level is 0.291 states/eV per atom. Its formation energy is -198 meV per atom.

No. 2
Computed, not measured: a relaxed CdGaNi3 crystal at the PBE level of DFT.

abc: 4.6504 4.6504 4.6504
angles: 90.00 90.00 90.00
Closest atoms and distances in Å follow each position.
Positions (direct):
Ga 0.5000 0.5000 0.5000  12 Ni 3.29
Ni 0.5000 0.0000 0.0000  2 Cd 2.33
Ni 0.0000 0.5000 0.0000  2 Cd 2.33
Ni 0.0000 0.0000 0.5000  2 Cd 2.33
Cd 0.0000 0.0000 0.0000  6 Ni 2.33

Calculated values
As for the symmetry: Pm-3m (221). The value obtained for the density of states at the Fermi level is 1.877 states/eV per atom. Its formation energy is 1240 meV per atom.

No. 3
Computed, not measured: a relaxed CdGa2Ni crystal at the PBE level of DFT.

abc: 3.4593 3.4593 7.3572
angles: 76.40 76.40 60.00
Closest atoms and distances in Å follow each position.
Positions (direct):
Ni 0.6641 0.6641 0.0076  6 Ga 2.39-2.46
Ga 0.0650 0.0650 0.8048  3 Ni 2.46
Ga 0.2690 0.2690 0.1930  3 Ni 2.39
Cd 0.5018 0.5018 0.4946  6 Ga 2.92-2.97

Calculated values
As for the symmetry: R3m (160). The value obtained for the density of states at the Fermi level is 0.370 states/eV per atom. Its formation energy is 22 meV per atom.

No. 4
Computed, not measured: a relaxed Cd2GaNi crystal at the PBE level of DFT.

abc: 2.8550 2.8550 11.2045
angles: 82.68 82.68 60.00
Closest atoms and distances in Å follow each position.
Positions (direct):
Cd 0.9212 0.9212 0.2364  1 Ni 2.62, 6 Cd 2.86
Cd 0.0788 0.0788 0.7636  1 Ni 2.62, 6 Cd 2.86
Ga 0.5000 0.5000 0.5000  6 Ga 2.86
Ni 0.0000 0.0000 0.0000  2 Cd 2.62, 6 Ni 2.86

Calculated values
As for the symmetry: R-3m (166). The value obtained for the density of states at the Fermi level is 0.771 states/eV per atom. Its formation energy is 349 meV per atom.

No. 5
Computed, not measured: a relaxed CdGaNi2 crystal at the PBE level of DFT.

abc: 4.2845 4.2845 4.2845
angles: 60.00 60.00 60.00
Closest atoms and distances in Å follow each position.
Positions (direct):
Ni 0.7500 0.7500 0.7500  4 Ga 2.62, 4 Cd 2.62
Ni 0.2500 0.2500 0.2500  4 Cd 2.62, 4 Ga 2.62
Ga 0.0000 0.0000 0.0000  8 Ni 2.62
Cd 0.5000 0.5000 0.5000  8 Ni 2.62

Calculated values
As for the symmetry: Fm-3m (225). The value obtained for the density of states at the Fermi level is 0.579 states/eV per atom. Its formation energy is -111 meV per atom.

No. 6
Computed, not measured: a relaxed CdGaNi2 crystal at the PBE level of DFT.

abc: 2.9026 2.9026 6.5919
angles: 90.00 90.00 90.00
Closest atoms and distances in Å follow each position.
Positions (direct):
Ni 0.0000 0.0000 0.7890  4 Ga 2.48
Ni 0.0000 0.0000 0.2110  4 Ga 2.48
Ga 0.5000 0.5000 0.0000  8 Ni 2.48
Cd 0.5000 0.5000 0.5000  8 Ni 2.80, 4 Cd 2.90

Calculated values
As for the symmetry: P4/mmm (123). The value obtained for the density of states at the Fermi level is 0.626 states/eV per atom. Its formation energy is -205 meV per atom.

No. 7
Computed, not measured: a relaxed Cd2GaNi crystal at the PBE level of DFT.

abc: 8.7313 8.7313 6.6035
angles: 48.62 48.62 90.00
Closest atoms and distances in Å follow each position.
Positions (direct):
Cd 0.8750 0.7656 0.7500  2 Ni 2.57
Cd 0.2344 0.6250 0.2500  2 Ni 2.57
Cd 0.5156 0.1250 0.2500  2 Ni 2.57
Cd 0.3750 0.4844 0.7500  2 Ni 2.57
Ga 0.7500 0.2500 0.5000  2 Ni 2.34
Ga 0.0000 0.0000 0.0000  2 Ni 2.34
Ni 0.2500 0.7500 0.5000  2 Ga 2.34, 4 Cd 2.57
Ni 0.5000 0.5000 0.0000  2 Ga 2.34, 4 Cd 2.57

Calculated values
As for the symmetry: I-42d (122). The value obtained for the density of states at the Fermi level is 0.480 states/eV per atom. Its formation energy is 142 meV per atom.

No. 8
Computed, not measured: a relaxed CdGa2Ni crystal at the PBE level of DFT.

abc: 2.9827 2.9827 9.2860
angles: 80.76 80.76 60.00
Closest atoms and distances in Å follow each position.
Positions (direct):
Ga 0.1013 0.1013 0.6961  3 Ni 2.48, 1 Cd 2.77
Ga 0.8987 0.8987 0.3039  3 Ni 2.48, 1 Cd 2.77
Cd 0.0000 0.0000 0.0000  2 Ga 2.77, 6 Cd 2.98
Ni 0.5000 0.5000 0.5000  6 Ga 2.48

Calculated values
As for the symmetry: R-3m (166). The value obtained for the density of states at the Fermi level is 0.480 states/eV per atom. Its formation energy is -48 meV per atom.

- Look up the density of states at the Fermi level of the second one.
  1.877 states/eV per atom

- density of states at the Fermi level of number 5 (CdGaNi2)?
  0.579 states/eV per atom

- density of states at the Fermi level of number 6 (CdGaNi2)?
  0.626 states/eV per atom